DFT (GGA+U) results for a relaxed LiAgMoF6 crystal.

Calculated values
As for the space group: P-31c, No. 163. The value obtained for the total magnetization is 3.9 μB per cell. The energy is -4.8633 eV per atom.

```
LiAgMoF6
1.0
5.3964 0.0000 0.0000
-2.6982 4.6734 0.0000
0.0000 0.0000 10.6847
Li Ag Mo F
2 2 2 12
Direct
0.3333 0.6667 0.2500
0.6667 0.3333 0.7500
0.0000 0.0000 0.0000
0.0000 0.0000 0.5000
0.3333 0.6667 0.7500
0.6667 0.3333 0.2500
0.0132 0.3701 0.6457
0.0132 0.6431 0.8543
0.3569 0.3701 0.8543
0.3569 0.9868 0.6457
0.3701 0.0132 0.1457
0.3701 0.3569 0.3543
0.6299 0.6431 0.6457
0.6299 0.9868 0.8543
0.6431 0.0132 0.3543
0.6431 0.6299 0.1457
0.9868 0.3569 0.1457
0.9868 0.6299 0.3543
```